1.
VASP calculation (PBE) on a relaxed structure of BeCuP2.

Computed properties:
Space-group type ... F-43m (216)
Final energy ... -16.3 eV per formula unit

a = 5.8520 Å, b = 5.8520 Å, c = 5.8520 Å
α = 90.00°, β = 90.00°, γ = 90.00°
Last column: nearest neighbours and their distance in Å.
Fractional coordinates of all 16 atoms:
Be: 0.0000 0.0000 0.0000  4 P 2.53, 4 Cu 2.53
Be: 0.0000 0.5000 0.5000  4 Cu 2.53, 4 P 2.53
Be: 0.5000 0.0000 0.5000  4 Cu 2.53, 4 P 2.53
Be: 0.5000 0.5000 0.0000  4 Cu 2.53, 4 P 2.53
Cu: 0.2500 0.2500 0.2500  4 Be 2.53, 4 P 2.53
Cu: 0.2500 0.7500 0.7500  4 Be 2.53, 4 P 2.53
Cu: 0.7500 0.2500 0.7500  4 Be 2.53, 4 P 2.53
Cu: 0.7500 0.7500 0.2500  4 Be 2.53, 4 P 2.53
P: 0.0000 0.0000 0.5000  4 Cu 2.53, 4 P 2.53
P: 0.0000 0.5000 0.0000  4 Cu 2.53, 4 P 2.53
P: 0.2500 0.2500 0.7500  4 Be 2.53, 4 P 2.53
P: 0.2500 0.7500 0.2500  4 Be 2.53, 4 P 2.53
P: 0.5000 0.0000 0.0000  4 Cu 2.53, 4 P 2.53
P: 0.5000 0.5000 0.5000  4 Cu 2.53, 4 P 2.53
P: 0.7500 0.2500 0.2500  4 Be 2.53, 4 P 2.53
P: 0.7500 0.7500 0.7500  4 Be 2.53, 4 P 2.53

2.
VASP calculation (PBE) on a relaxed structure of BeCu4P.

Computed properties:
Space-group type ... F-43m (216)
Final energy ... -23.4 eV per formula unit

a = 4.7637 Å, b = 4.7637 Å, c = 4.7637 Å
α = 60.00°, β = 60.00°, γ = 60.00°
Last column: nearest neighbours and their distance in Å.
Fractional coordinates of all 6 atoms:
Be: 0.0000 0.0000 0.0000  12 Cu 2.79, 4 P 2.92
Cu: 0.1237 0.6254 0.6254  6 Cu 2.37-2.39
Cu: 0.6254 0.1237 0.6254  6 Cu 2.37-2.39
Cu: 0.6254 0.6254 0.1237  6 Cu 2.37-2.39
Cu: 0.6254 0.6254 0.6254  6 Cu 2.37-2.39
P: 0.2500 0.2500 0.2500  12 Cu 2.79, 4 Be 2.92

3.
VASP calculation (PBE) on a relaxed structure of BeCuP2.

Computed properties:
Space-group type ... I-4m2 (119)
Final energy ... -16.9 eV per formula unit

a = 3.4081 Å, b = 3.4081 Å, c = 8.8798 Å
α = 90.00°, β = 90.00°, γ = 90.00°
Last column: nearest neighbours and their distance in Å.
Fractional coordinates of all 8 atoms:
Be: 0.0000 0.0000 0.0000  4 P 2.41
Be: 0.5000 0.5000 0.5000  4 P 2.41
Cu: 0.0000 0.5000 0.7500  4 P 2.41
Cu: 0.5000 0.0000 0.2500  4 P 2.41
P: 0.0000 0.0000 0.5000  4 Be 2.41
P: 0.0000 0.5000 0.2500  4 Cu 2.41
P: 0.5000 0.0000 0.7500  4 Cu 2.41
P: 0.5000 0.5000 0.0000  4 Be 2.41

4.
VASP calculation (PBE) on a relaxed structure of BeCuP2.

Computed properties:
Space-group type ... P4mm (99)
Final energy ... -17.6 eV per formula unit

a = 2.9153 Å, b = 2.9153 Å, c = 7.1050 Å
α = 90.00°, β = 90.00°, γ = 90.00°
Last column: nearest neighbours and their distance in Å.
Fractional coordinates of all 4 atoms:
Be: 0.0000 0.0000 0.0000  5 P 2.37-2.54, 4 Cu 2.40
Cu: 0.5000 0.5000 0.1734  4 Be 2.40, 5 P 2.41-2.44
P: 0.0000 0.0000 0.3574  4 Cu 2.44, 1 Be 2.54
P: 0.5000 0.5000 0.8346  4 Be 2.37, 1 Cu 2.41

5.
VASP calculation (PBE) on a relaxed structure of BeCuP2.

Computed properties:
Space-group type ... R-3m (166)
Final energy ... -17.9 eV per formula unit

a = 3.1177 Å, b = 3.1177 Å, c = 18.4391 Å
α = 90.00°, β = 90.00°, γ = 120.00°
Last column: nearest neighbours and their distance in Å.
Fractional coordinates of all 12 atoms:
Be: 0.0000 0.0000 0.0000  6 P 2.30
Be: 0.3333 0.6667 0.6667  6 P 2.30
Be: 0.6667 0.3333 0.3333  6 P 2.30
Cu: 0.0000 0.0000 0.5000  6 P 2.44
Cu: 0.3333 0.6667 0.1667  6 P 2.44
Cu: 0.6667 0.3333 0.8333  6 P 2.44
P: 0.0000 0.0000 0.2559  3 Be 2.30, 3 Cu 2.44
P: 0.0000 0.0000 0.7441  3 Be 2.30, 3 Cu 2.44
P: 0.3333 0.6667 0.4108  3 Be 2.30, 3 Cu 2.44
P: 0.3333 0.6667 0.9225  3 Be 2.30, 3 Cu 2.44
P: 0.6667 0.3333 0.0775  3 Be 2.30, 3 Cu 2.44
P: 0.6667 0.3333 0.5892  3 Be 2.30, 3 Cu 2.44

6.
VASP calculation (PBE) on a relaxed structure of BeCuP.

Computed properties:
Space-group type ... Pnma (62)
Final energy ... -13.2 eV per formula unit

a = 7.5921 Å, b = 4.3245 Å, c = 4.8230 Å
α = 90.00°, β = 90.00°, γ = 90.00°
Last column: nearest neighbours and their distance in Å.
Fractional coordinates of all 12 atoms:
Be: 0.0000 0.0000 0.0000  2 P 2.11, 2 Be 2.16
Be: 0.0000 0.5000 0.0000  2 P 2.11, 2 Be 2.16
Be: 0.5000 0.0000 0.5000  2 P 2.11, 2 Be 2.16
Be: 0.5000 0.5000 0.5000  2 P 2.11, 2 Be 2.16
Cu: 0.0951 0.2500 0.4197  4 P 2.36-2.54, 2 Be 2.41
Cu: 0.4049 0.7500 0.9197  4 P 2.36-2.54, 2 Be 2.41
Cu: 0.5951 0.2500 0.0803  4 P 2.36-2.54, 2 Be 2.41
Cu: 0.9049 0.7500 0.5803  4 P 2.36-2.54, 2 Be 2.41
P: 0.1706 0.7500 0.2618  2 Be 2.11
P: 0.3294 0.2500 0.7618  2 Be 2.11
P: 0.6706 0.7500 0.2382  2 Be 2.11
P: 0.8294 0.2500 0.7382  2 Be 2.11

7.
VASP calculation (PBE) on a relaxed structure of BeCuP2.

Computed properties:
Space-group type ... C2/m (12)
Final energy ... -17.6 eV per formula unit

a = 4.8769 Å, b = 6.4243 Å, c = 3.7519 Å
α = 90.00°, β = 115.94°, γ = 90.00°
Last column: nearest neighbours and their distance in Å.
Fractional coordinates of all 8 atoms:
Be: 0.0000 0.0000 0.0000  4 P 2.36, 2 Cu 2.44
Be: 0.5000 0.5000 0.0000  4 P 2.36, 2 Cu 2.44
Cu: 0.0000 0.5000 0.0000  4 P 2.36, 2 Be 2.44
Cu: 0.5000 0.0000 0.0000  4 P 2.36, 2 Be 2.44
P: 0.2500 0.2500 0.5000  2 Be 2.36, 2 Cu 2.36, 2 P 2.44
P: 0.2500 0.7500 0.5000  2 Be 2.36, 2 Cu 2.36, 2 P 2.44
P: 0.7500 0.2500 0.5000  2 Be 2.36, 2 Cu 2.36, 2 P 2.44
P: 0.7500 0.7500 0.5000  2 Be 2.36, 2 Cu 2.36, 2 P 2.44

8.
VASP calculation (PBE) on a relaxed structure of BeCuP2.

Computed properties:
Space-group type ... I4/mmm (139)
Final energy ... -16.8 eV per formula unit

a = 3.8500 Å, b = 3.8500 Å, c = 6.8394 Å
α = 90.00°, β = 90.00°, γ = 90.00°
Last column: nearest neighbours and their distance in Å.
Fractional coordinates of all 8 atoms:
Be: 0.0000 0.0000 0.0000  8 P 2.57, 4 Cu 2.72
Be: 0.5000 0.5000 0.5000  8 P 2.57, 4 Cu 2.72
Cu: 0.0000 0.0000 0.5000  8 P 2.57, 4 Be 2.72
Cu: 0.5000 0.5000 0.0000  8 P 2.57, 4 Be 2.72
P: 0.0000 0.5000 0.2500  4 Be 2.57, 4 Cu 2.57, 4 P 2.72
P: 0.0000 0.5000 0.7500  4 Be 2.57, 4 Cu 2.57, 4 P 2.72
P: 0.5000 0.0000 0.2500  4 Be 2.57, 4 Cu 2.57, 4 P 2.72
P: 0.5000 0.0000 0.7500  4 Be 2.57, 4 Cu 2.57, 4 P 2.72

Number 1: energy of formation 0.57 eV per atom. Number 2: energy of formation 0.36 eV per atom. Number 3: energy of formation 0.42 eV per atom. Number 4: energy of formation 0.27 eV per atom. Number 5: energy of formation 0.19 eV per atom. Number 6: energy of formation 0.02 eV per atom. Number 7: energy of formation 0.26 eV per atom. Number 8: energy of formation 0.45 eV per atom.